[1]
CaMgAu2 | GGA-PBE | optimized geometry

Values from the calculation:
ΔH_f (0 K) in eV per atom: -0.466
DOS(E_F) in states/eV/atom: 0.420
E_tot in eV/atom: -3.0033

```
data_CaMgAu2
_chemical_formula_sum 'Ca4 Mg4 Au8'
_cell_length_a 6.9250
_cell_length_b 6.9250
_cell_length_c 6.9250
_cell_angle_alpha 90.00
_cell_angle_beta 90.00
_cell_angle_gamma 90.00
_space_group_name_H-M_alt 'F -4 3 m'
_space_group_IT_number 216
_space_group_name_Hall 'F -4 2 3'
loop_
_atom_site_label
_atom_site_type_symbol
_atom_site_fract_x
_atom_site_fract_y
_atom_site_fract_z
_atom_site_occupancy
Ca1 Ca 0.0000 0.0000 0.0000 1
Mg1 Mg 0.2500 0.2500 0.7500 1
Au1 Au 0.0000 0.0000 0.5000 1
Au2 Au 0.2500 0.2500 0.2500 1
```


[2]
Hf2AlAsO | GGA-PBE | optimized geometry

Values from the calculation:
E_form (uncorrected) in eV per atom: 0.7821
DOS(E_F) in states/eV/atom: 1.246
E_tot in eV/atom: -5.8694

```
data_Hf2AlAsO
_chemical_formula_sum 'Hf2 Al1 As1 O1'
_cell_length_a 4.9760
_cell_length_b 4.9760
_cell_length_c 4.5094
_cell_angle_alpha 90.00
_cell_angle_beta 90.00
_cell_angle_gamma 90.00
_space_group_name_H-M_alt 'P 4/m m m'
_space_group_IT_number 123
_space_group_name_Hall '-P 4 2'
loop_
_atom_site_label
_atom_site_type_symbol
_atom_site_fract_x
_atom_site_fract_y
_atom_site_fract_z
_atom_site_occupancy
Hf1 Hf 0.0000 0.5000 0.0000 1
Al1 Al 0.0000 0.0000 0.5000 1
As1 As 0.0000 0.0000 0.0000 1
O1 O 0.5000 0.5000 0.5000 1
```


[3]
SrAsRu2 | GGA-PBE | optimized geometry

Values from the calculation:
ΔH_f (0 K) in eV per atom: 0.104
DOS(E_F) in states/eV/atom: 0.999
E_tot in eV/atom: -6.1168

```
data_SrAsRu2
_chemical_formula_sum 'Sr4 As4 Ru8'
_cell_length_a 4.7944
_cell_length_b 4.7944
_cell_length_c 17.0953
_cell_angle_alpha 90.00
_cell_angle_beta 90.00
_cell_angle_gamma 90.00
_space_group_name_H-M_alt 'I -4 2 d'
_space_group_IT_number 122
_space_group_name_Hall 'I -4 2bw'
loop_
_atom_site_label
_atom_site_type_symbol
_atom_site_fract_x
_atom_site_fract_y
_atom_site_fract_z
_atom_site_occupancy
Sr1 Sr 0.0000 0.0000 0.0000 1
As1 As 0.0000 0.0000 0.5000 1
Ru1 Ru 0.0260 0.7500 0.6250 1
```


[4]
DyUAl | GGA-PBE | optimized geometry

Values from the calculation:
ΔH_f (0 K) in eV per atom: 0.120
DOS(E_F) in states/eV/atom: 1.485
E_tot in eV/atom: -6.4241

```
data_DyUAl
_chemical_formula_sum 'Dy4 U4 Al4'
_cell_length_a 3.1155
_cell_length_b 18.7551
_cell_length_c 4.6940
_cell_angle_alpha 90.00
_cell_angle_beta 90.00
_cell_angle_gamma 90.00
_space_group_name_H-M_alt 'C m c m'
_space_group_IT_number 63
_space_group_name_Hall '-C 2c 2'
loop_
_atom_site_label
_atom_site_type_symbol
_atom_site_fract_x
_atom_site_fract_y
_atom_site_fract_z
_atom_site_occupancy
Dy1 Dy 0.0000 0.1300 0.2500 1
U1 U 0.0000 0.4701 0.2500 1
Al1 Al 0.0000 0.2947 0.2500 1
```


[5]
Cu2NiAu3 | GGA-PBE | optimized geometry

Values from the calculation:
ΔH_f (0 K) in eV per atom: -0.003
DOS(E_F) in states/eV/atom: 0.358
E_tot in eV/atom: -3.9707

```
data_Cu2NiAu3
_chemical_formula_sum 'Cu8 Ni4 Au12'
_cell_length_a 4.1903
_cell_length_b 12.5441
_cell_length_c 6.7748
_cell_angle_alpha 90.00
_cell_angle_beta 90.00
_cell_angle_gamma 90.00
_space_group_name_H-M_alt 'C m m m'
_space_group_IT_number 65
_space_group_name_Hall '-C 2 2'
loop_
_atom_site_label
_atom_site_type_symbol
_atom_site_fract_x
_atom_site_fract_y
_atom_site_fract_z
_atom_site_occupancy
Cu1 Cu 0.0000 0.0000 0.0000 1
Cu2 Cu 0.0000 0.0000 0.5000 1
Cu3 Cu 0.0000 0.3342 0.0000 1
Ni1 Ni 0.0000 0.3314 0.5000 1
Au1 Au 0.0000 0.1672 0.2522 1
Au2 Au 0.0000 0.5000 0.2537 1
```


[6]
La2CeGe2 | GGA-PBE | optimized geometry

Values from the calculation:
ΔH_f (0 K) in eV per atom: -0.658
Excess energy over the best structure of this formula in the dataset in eV/f.u.: 0.000
DOS(E_F) in states/eV/atom: 1.222
E_tot in eV/atom: -5.6629

```
data_La2CeGe2
_chemical_formula_sum 'La8 Ce4 Ge8'
_cell_length_a 11.9685
_cell_length_b 4.4436
_cell_length_c 11.4094
_cell_angle_alpha 90.00
_cell_angle_beta 116.69
_cell_angle_gamma 90.00
_space_group_name_H-M_alt 'C 1 2/m 1'
_space_group_IT_number 12
loop_
_space_group_symop_operation_xyz
'x,y,z'
'-x,-y,-z'
'-x,y,-z'
'x,-y,z'
'x+1/2,y+1/2,z'
'-x+1/2,-y+1/2,-z'
'-x+1/2,y+1/2,-z'
'x+1/2,-y+1/2,z'
loop_
_atom_site_label
_atom_site_type_symbol
_atom_site_fract_x
_atom_site_fract_y
_atom_site_fract_z
_atom_site_occupancy
La1 La 0.0038 0.0000 0.3238 1
La2 La 0.1885 0.0000 0.1025 1
Ce1 Ce 0.2006 0.5000 0.3618 1
Ge1 Ge 0.0303 0.5000 0.9014 1
Ge2 Ge 0.1215 0.5000 0.5802 1
```


[7]
SrTl2Ni2 | GGA-PBE | optimized geometry

Values from the calculation:
ΔH_f (0 K) in eV per atom: 0.005
Excess energy over the best structure of this formula in the dataset in eV/f.u.: 0.070
DOS(E_F) in states/eV/atom: 0.684
E_tot in eV/atom: -3.5904

```
data_SrTl2Ni2
_chemical_formula_sum 'Sr2 Tl4 Ni4'
_cell_length_a 4.7201
_cell_length_b 4.7201
_cell_length_c 10.5154
_cell_angle_alpha 90.00
_cell_angle_beta 90.00
_cell_angle_gamma 90.00
_space_group_name_H-M_alt 'I 4/m m m'
_space_group_IT_number 139
_space_group_name_Hall '-I 4 2'
loop_
_atom_site_label
_atom_site_type_symbol
_atom_site_fract_x
_atom_site_fract_y
_atom_site_fract_z
_atom_site_occupancy
Sr1 Sr 0.0000 0.0000 0.0000 1
Tl1 Tl 0.0000 0.0000 0.3534 1
Ni1 Ni 0.0000 0.5000 0.2500 1
```


[8]
CePuAlCu | GGA-PBE | optimized geometry

Values from the calculation:
ΔH_f (0 K) in eV per atom: -0.033
DOS(E_F) in states/eV/atom: 2.033
E_tot in eV/atom: -7.0593

```
data_CePuAlCu
_chemical_formula_sum 'Ce4 Pu4 Al4 Cu4'
_cell_length_a 6.9024
_cell_length_b 6.9024
_cell_length_c 6.9024
_cell_angle_alpha 90.00
_cell_angle_beta 90.00
_cell_angle_gamma 90.00
_space_group_name_H-M_alt 'F -4 3 m'
_space_group_IT_number 216
_space_group_name_Hall 'F -4 2 3'
loop_
_atom_site_label
_atom_site_type_symbol
_atom_site_fract_x
_atom_site_fract_y
_atom_site_fract_z
_atom_site_occupancy
Ce1 Ce 0.0000 0.0000 0.0000 1
Pu1 Pu 0.2500 0.2500 0.2500 1
Al1 Al 0.0000 0.0000 0.5000 1
Cu1 Cu 0.2500 0.2500 0.7500 1
```


[9]
SrZn2GeN | GGA-PBE | optimized geometry

Values from the calculation:
E_form (uncorrected) in eV per atom: -0.2725
DOS(E_F) in states/eV/atom: 0.436
E_tot in eV/atom: -3.7070

```
data_SrZn2GeN
_chemical_formula_sum 'Sr4 Zn8 Ge4 N4'
_cell_length_a 3.9046
_cell_length_b 12.7627
_cell_length_c 7.2580
_cell_angle_alpha 90.00
_cell_angle_beta 90.00
_cell_angle_gamma 90.00
_space_group_name_H-M_alt 'C m c m'
_space_group_IT_number 63
_space_group_name_Hall '-C 2c 2'
loop_
_atom_site_label
_atom_site_type_symbol
_atom_site_fract_x
_atom_site_fract_y
_atom_site_fract_z
_atom_site_occupancy
Sr1 Sr 0.0000 0.0363 0.2500 1
Zn1 Zn 0.0000 0.3513 0.0566 1
Ge1 Ge 0.0000 0.2366 0.7500 1
N1 N 0.0000 0.5000 0.0000 1
```


[10]
Mn3TeS | GGA-PBE | optimized geometry

Values from the calculation:
E_form (uncorrected) in eV per atom: 0.2022
Excess energy over the best structure of this formula in the dataset in eV/f.u.: 0.000
DOS(E_F) in states/eV/atom: 0.997
E_tot in eV/atom: -6.7534

```
data_Mn3TeS
_chemical_formula_sum 'Mn3 Te1 S1'
_cell_length_a 4.4962
_cell_length_b 4.4962
_cell_length_c 4.4962
_cell_angle_alpha 90.00
_cell_angle_beta 90.00
_cell_angle_gamma 90.00
_space_group_name_H-M_alt 'P m -3 m'
_space_group_IT_number 221
_space_group_name_Hall '-P 4 2 3'
loop_
_atom_site_label
_atom_site_type_symbol
_atom_site_fract_x
_atom_site_fract_y
_atom_site_fract_z
_atom_site_occupancy
Mn1 Mn 0.0000 0.0000 0.5000 1
Te1 Te 0.5000 0.5000 0.5000 1
S1 S 0.0000 0.0000 0.0000 1
```


[11]
Y2Zr2Cr | GGA-PBE | optimized geometry

Values from the calculation:
ΔH_f (0 K) in eV per atom: 0.322
DOS(E_F) in states/eV/atom: 1.485
E_tot in eV/atom: -7.6073

```
data_Y2Zr2Cr
_chemical_formula_sum 'Y4 Zr4 Cr2'
_cell_length_a 6.8320
_cell_length_b 6.8320
_cell_length_c 5.3024
_cell_angle_alpha 90.00
_cell_angle_beta 90.00
_cell_angle_gamma 90.00
_space_group_name_H-M_alt 'P 4/m b m'
_space_group_IT_number 127
_space_group_name_Hall '-P 4 2ab'
loop_
_atom_site_label
_atom_site_type_symbol
_atom_site_fract_x
_atom_site_fract_y
_atom_site_fract_z
_atom_site_occupancy
Y1 Y 0.1691 0.3309 0.0000 1
Zr1 Zr 0.1516 0.6516 0.5000 1
Cr1 Cr 0.0000 0.0000 0.5000 1
```


[12]
Tl2HgBi2 | GGA-PBE | optimized geometry

Values from the calculation:
ΔH_f (0 K) in eV per atom: 0.115
Excess energy over the best structure of this formula in the dataset in eV/f.u.: 0.623
DOS(E_F) in states/eV/atom: 0.345
E_tot in eV/atom: -2.4440

```
data_Tl2HgBi2
_chemical_formula_sum 'Tl4 Hg2 Bi4'
_cell_length_a 6.1157
_cell_length_b 6.1157
_cell_length_c 10.0993
_cell_angle_alpha 90.00
_cell_angle_beta 90.00
_cell_angle_gamma 90.00
_space_group_name_H-M_alt 'I 4/m m m'
_space_group_IT_number 139
_space_group_name_Hall '-I 4 2'
loop_
_atom_site_label
_atom_site_type_symbol
_atom_site_fract_x
_atom_site_fract_y
_atom_site_fract_z
_atom_site_occupancy
Tl1 Tl 0.0000 0.5000 0.2500 1
Hg1 Hg 0.0000 0.0000 0.0000 1
Bi1 Bi 0.0000 0.0000 0.3538 1
```


[13]
Ca2Ta | GGA-PBE | optimized geometry

Values from the calculation:
ΔH_f (0 K) in eV per atom: 0.658
Excess energy over the best structure of this formula in the dataset in eV/f.u.: 0.595
DOS(E_F) in states/eV/atom: 1.806
E_tot in eV/atom: -4.6275

```
data_Ca2Ta
_chemical_formula_sum 'Ca4 Ta2'
_cell_length_a 3.2103
_cell_length_b 3.2103
_cell_length_c 16.3681
_cell_angle_alpha 90.00
_cell_angle_beta 90.00
_cell_angle_gamma 90.00
_space_group_name_H-M_alt 'I 4/m m m'
_space_group_IT_number 139
_space_group_name_Hall '-I 4 2'
loop_
_atom_site_label
_atom_site_type_symbol
_atom_site_fract_x
_atom_site_fract_y
_atom_site_fract_z
_atom_site_occupancy
Ca1 Ca 0.0000 0.0000 0.1456 1
Ta1 Ta 0.0000 0.0000 0.5000 1
```


[14]
Cs3Zn5I12 | GGA-PBE | optimized geometry

Values from the calculation:
E_form (uncorrected) in eV per atom: -0.7630
DOS(E_F) in states/eV/atom: 0.160
E_tot in eV/atom: -2.1396

```
data_Cs3Zn5I12
_chemical_formula_sum 'Cs24 Zn40 I96'
_cell_length_a 18.9949
_cell_length_b 18.9949
_cell_length_c 18.9949
_cell_angle_alpha 90.00
_cell_angle_beta 90.00
_cell_angle_gamma 90.00
_space_group_name_H-M_alt 'I a -3 d'
_space_group_IT_number 230
_space_group_name_Hall '-I 4bd 2c 3'
loop_
_atom_site_label
_atom_site_type_symbol
_atom_site_fract_x
_atom_site_fract_y
_atom_site_fract_z
_atom_site_occupancy
Cs1 Cs 0.0000 0.2500 0.1250 1
Zn1 Zn 0.0000 0.0000 0.0000 1
Zn2 Zn 0.0000 0.2500 0.3750 1
I1 I 0.0404 0.0461 0.6456 1
```


[15]
Al2CdHg | GGA-PBE | optimized geometry

Values from the calculation:
ΔH_f (0 K) in eV per atom: 0.134
Excess energy over the best structure of this formula in the dataset in eV/f.u.: 0.081
DOS(E_F) in states/eV/atom: 0.468
E_tot in eV/atom: -2.0416

```
data_Al2CdHg
_chemical_formula_sum 'Al2 Cd1 Hg1'
_cell_length_a 3.1375
_cell_length_b 3.1375
_cell_length_c 8.1827
_cell_angle_alpha 90.00
_cell_angle_beta 90.00
_cell_angle_gamma 90.00
_space_group_name_H-M_alt 'P 4 m m'
_space_group_IT_number 99
loop_
_space_group_symop_operation_xyz
'x,y,z'
'-y,x,z'
'-x,-y,z'
'y,-x,z'
'-x,y,z'
'y,x,z'
'x,-y,z'
'-y,-x,z'
loop_
_atom_site_label
_atom_site_type_symbol
_atom_site_fract_x
_atom_site_fract_y
_atom_site_fract_z
_atom_site_occupancy
Al1 Al 0.0000 0.0000 0.0000 1
Al2 Al 0.5000 0.5000 0.2096 1
Cd1 Cd 0.0000 0.0000 0.4619 1
Hg1 Hg 0.5000 0.5000 0.7484 1
```


[16]
Th2ScHg4 | GGA-PBE | optimized geometry

Values from the calculation:
ΔH_f (0 K) in eV per atom: 0.148
Excess energy over the best structure of this formula in the dataset in eV/f.u.: 2.014
DOS(E_F) in states/eV/atom: 1.255
E_tot in eV/atom: -3.0490

```
data_Th2ScHg4
_chemical_formula_sum 'Th4 Sc2 Hg8'
_cell_length_a 5.4360
_cell_length_b 5.4360
_cell_length_c 15.3034
_cell_angle_alpha 90.00
_cell_angle_beta 90.00
_cell_angle_gamma 90.00
_space_group_name_H-M_alt 'I 4/m m m'
_space_group_IT_number 139
_space_group_name_Hall '-I 4 2'
loop_
_atom_site_label
_atom_site_type_symbol
_atom_site_fract_x
_atom_site_fract_y
_atom_site_fract_z
_atom_site_occupancy
Th1 Th 0.0000 0.0000 0.1078 1
Sc1 Sc 0.0000 0.0000 0.5000 1
Hg1 Hg 0.0000 0.0000 0.3135 1
Hg2 Hg 0.0000 0.5000 0.0000 1
```


[17]
CrNi2PdPt4 | GGA-PBE | optimized geometry

Values from the calculation:
ΔH_f (0 K) in eV per atom: 0.179
DOS(E_F) in states/eV/atom: 1.472
E_tot in eV/atom: -6.1388

```
data_CrNi2PdPt4
_chemical_formula_sum 'Cr1 Ni2 Pd1 Pt4'
_cell_length_a 3.7612
_cell_length_b 3.7612
_cell_length_c 9.0820
_cell_angle_alpha 90.00
_cell_angle_beta 90.00
_cell_angle_gamma 90.00
_space_group_name_H-M_alt 'P 4/m m m'
_space_group_IT_number 123
_space_group_name_Hall '-P 4 2'
loop_
_atom_site_label
_atom_site_type_symbol
_atom_site_fract_x
_atom_site_fract_y
_atom_site_fract_z
_atom_site_occupancy
Cr1 Cr 0.0000 0.0000 0.0000 1
Ni1 Ni 0.5000 0.5000 0.3805 1
Pd1 Pd 0.0000 0.0000 0.5000 1
Pt1 Pt 0.0000 0.5000 0.1945 1
```


[18]
Pm3CdPd4 | GGA-PBE | optimized geometry

Values from the calculation:
ΔH_f (0 K) in eV per atom: -0.546
DOS(E_F) in states/eV/atom: 0.711
E_tot in eV/atom: -5.0380

```
data_Pm3CdPd4
_chemical_formula_sum 'Pm6 Cd2 Pd8'
_cell_length_a 6.0566
_cell_length_b 10.3989
_cell_length_c 5.8425
_cell_angle_alpha 90.00
_cell_angle_beta 90.00
_cell_angle_gamma 90.00
_space_group_name_H-M_alt 'I m m 2'
_space_group_IT_number 44
loop_
_space_group_symop_operation_xyz
'x,y,z'
'-x,-y,z'
'-x,y,z'
'x,-y,z'
'x+1/2,y+1/2,z+1/2'
'-x+1/2,-y+1/2,z+1/2'
'-x+1/2,y+1/2,z+1/2'
'x+1/2,-y+1/2,z+1/2'
loop_
_atom_site_label
_atom_site_type_symbol
_atom_site_fract_x
_atom_site_fract_y
_atom_site_fract_z
_atom_site_occupancy
Pm1 Pm 0.0000 0.0000 0.0000 1
Pm2 Pm 0.0000 0.3044 0.7704 1
Cd1 Cd 0.0000 0.5000 0.3360 1
Pd1 Pd 0.0000 0.2289 0.2732 1
Pd2 Pd 0.2174 0.0000 0.4787 1
```


[19]
LaHo2Ti | GGA-PBE | optimized geometry

Values from the calculation:
ΔH_f (0 K) in eV per atom: 0.443
Excess energy over the best structure of this formula in the dataset in eV/f.u.: 1.150
DOS(E_F) in states/eV/atom: 1.420
E_tot in eV/atom: -5.0518

```
data_LaHo2Ti
_chemical_formula_sum 'La3 Ho6 Ti3'
_cell_length_a 3.3780
_cell_length_b 3.3780
_cell_length_c 35.5754
_cell_angle_alpha 90.00
_cell_angle_beta 90.00
_cell_angle_gamma 120.00
_space_group_name_H-M_alt 'R -3 m'
_space_group_IT_number 166
_space_group_name_Hall '-R 3 2"'
loop_
_atom_site_label
_atom_site_type_symbol
_atom_site_fract_x
_atom_site_fract_y
_atom_site_fract_z
_atom_site_occupancy
La1 La 0.0000 0.0000 0.0000 1
Ho1 Ho 0.0000 0.0000 0.4178 1
Ti1 Ti 0.0000 0.0000 0.5000 1
```


[20]
LaPd3Pb2 | GGA-PBE | optimized geometry

Values from the calculation:
ΔH_f (0 K) in eV per atom: -0.535
Excess energy over the best structure of this formula in the dataset in eV/f.u.: 0.000
DOS(E_F) in states/eV/atom: 0.586
E_tot in eV/atom: -5.1891

```
data_LaPd3Pb2
_chemical_formula_sum 'La2 Pd6 Pb4'
_cell_length_a 4.8179
_cell_length_b 4.8179
_cell_length_c 13.1958
_cell_angle_alpha 90.00
_cell_angle_beta 90.00
_cell_angle_gamma 120.00
_space_group_name_H-M_alt 'P 63/m m c'
_space_group_IT_number 194
_space_group_name_Hall '-P 6c 2c'
loop_
_atom_site_label
_atom_site_type_symbol
_atom_site_fract_x
_atom_site_fract_y
_atom_site_fract_z
_atom_site_occupancy
La1 La 0.0000 0.0000 0.2500 1
Pd1 Pd 0.0000 0.0000 0.0000 1
Pd2 Pd 0.3333 0.6667 0.1398 1
Pb1 Pb 0.3333 0.6667 0.5832 1
```